VASP calculation (PBE) on an optimized crystal structure of In2Hg2I.

Computed properties:
energy relative to the lowest polymorph listed for this composition = 22 meV per atom
calculated density = 7.8 g cm⁻³

abc: 4.591 4.591 15.359
angles: 90.00 90.00 90.00
Space group I4/mmm (No. 139)
Symmetry-distinct sites (fractional):
In  0.000  0.000  0.100 (multiplicity 4)
Hg  0.000  0.500  0.250 (multiplicity 4)
I  0.000  0.000  0.500 (multiplicity 2)

---

VASP calculation (PBE) on an optimized crystal structure of NdYHo5Er2.

Computed properties:
ΔH_f (0 K) = 0.162 eV/atom
calculated density = 7.9 g cm⁻³

abc: 5.584 19.697 10.578
angles: 90.00 90.00 90.00
Space group Cmc2_1 (No. 36)
Symmetry-distinct sites (fractional):
Nd  0.000  0.084  0.000 (multiplicity 4)
Y  0.000  0.299  0.560 (multiplicity 4)
Ho  0.000  0.022  0.285 (multiplicity 4)
Ho  0.000  0.111  0.570 (multiplicity 4)
Ho  0.000  0.201  0.258 (multiplicity 4)
Ho  0.000  0.218  0.858 (multiplicity 4)
Ho  0.000  0.482  0.573 (multiplicity 4)
Er  0.000  0.386  0.867 (multiplicity 4)
Er  0.000  0.390  0.283 (multiplicity 4)